No. 1
Below is an optimized crystal structure of Fe2IrSe, with properties calculated at the PBE level.

a = 2.8784 Å, b = 2.8784 Å, c = 6.5267 Å
α = 90.00°, β = 90.00°, γ = 90.00°
Fractional coordinates of all 4 atoms:
1 Fe 0.0000 0.0000 0.2406
2 Fe 0.0000 0.0000 0.7594
3 Ir 0.5000 0.5000 0.5000
4 Se 0.5000 0.5000 0.0000

Results
Energy relative to the elements, uncorrected (kJ/mol of atoms): 17.1
Final energy (eV/atom): -7.141

=====

No. 2
Below is an optimized crystal structure of Fe2IrSe, with properties calculated at the PBE level.

a = 2.8331 Å, b = 2.8331 Å, c = 23.8386 Å
α = 90.00°, β = 90.00°, γ = 120.00°
Fractional coordinates of all 12 atoms:
1 Fe 0.0000 0.0000 0.2471
2 Fe 0.0000 0.0000 0.7529
3 Fe 0.3333 0.6667 0.4196
4 Fe 0.3333 0.6667 0.9138
5 Fe 0.6667 0.3333 0.0862
6 Fe 0.6667 0.3333 0.5804
7 Ir 0.0000 0.0000 0.0000
8 Ir 0.3333 0.6667 0.6667
9 Ir 0.6667 0.3333 0.3333
10 Se 0.0000 0.0000 0.5000
11 Se 0.3333 0.6667 0.1667
12 Se 0.6667 0.3333 0.8333

Results
Energy relative to the elements, uncorrected (kJ/mol of atoms): 23.2
Final energy (eV/atom): -7.077